Below is a relaxed structure of Ce3BeO6, with properties calculated at the PBE level.

Mass density, g cm⁻³: 6.30
D(E_F), states/eV per cell: 56.1
V, A^3/atom: 13.9
ΔE_f (raw), eV per atom: -3.219
Uncorrected energy, eV per cell: -333.86

a = 9.105 Å, b = 11.413 Å, c = 5.334 Å
α = 90.00°, β = 90.00°, γ = 90.00°
Space group Cmc2_1 (No. 36)
One atom of each set of equivalent atoms:
Ce  0.000  0.110  0.000 (multiplicity 4)
Ce  0.187  0.389  0.042 (multiplicity 8)
Be  0.000  0.305  0.593 (multiplicity 4)
O  0.000  0.286  0.274 (multiplicity 4)
O  0.000  0.443  0.708 (multiplicity 4)
O  0.145  0.239  0.738 (multiplicity 8)
O  0.160  0.014  0.274 (multiplicity 8)


Below is a relaxed structure of Pm2DyZn5, with properties calculated at the PBE level.

Mass density, g cm⁻³: 7.59
Energy of formation, eV per atom: -0.293
D(E_F), states/eV per cell: 8.9
V, A^3/atom: 21.3
Uncorrected energy, eV per cell: -45.64

a = 4.857 Å, b = 4.857 Å, c = 14.468 Å
α = 90.00°, β = 90.00°, γ = 90.00°
Space group I4/mmm (No. 139)
One atom of each set of equivalent atoms:
Pm  0.000  0.000  0.232 (multiplicity 4)
Dy  0.000  0.000  0.500 (multiplicity 2)
Zn  0.000  0.000  0.000 (multiplicity 2)
Zn  0.000  0.500  0.110 (multiplicity 8)


Below is a relaxed structure of PmPaCo10, with properties calculated at the PBE level.

Mass density, g cm⁻³: 9.64
Energy of formation, eV per atom: -0.126
D(E_F), states/eV per cell: 17.3
V, A^3/atom: 13.9
Uncorrected energy, eV per cell: -86.81

a = 4.009 Å, b = 4.877 Å, c = 8.506 Å
α = 90.00°, β = 90.00°, γ = 90.00°
Space group Pmmm (No. 47)
One atom of each set of equivalent atoms:
Pm  0.000  0.000  0.000 (multiplicity 1)
Pa  0.000  0.500  0.500 (multiplicity 1)
Co  0.000  0.000  0.343 (multiplicity 2)
Co  0.000  0.500  0.193 (multiplicity 2)
Co  0.500  0.000  0.500 (multiplicity 1)
Co  0.500  0.247  0.250 (multiplicity 4)
Co  0.500  0.500  0.000 (multiplicity 1)


Below is a relaxed structure of SbRh2Se, with properties calculated at the PBE level.

Mass density, g cm⁻³: 9.47
D(E_F), states/eV per cell: 4.7
V, A^3/atom: 17.8
ΔE_f (raw), eV per atom: 0.145
Uncorrected energy, eV per cell: -21.73

a = 3.186 Å, b = 4.239 Å, c = 5.280 Å
α = 90.00°, β = 90.00°, γ = 90.00°
Space group Pmmm (No. 47)
One atom of each set of equivalent atoms:
Sb  0.000  0.000  0.000 (multiplicity 1)
Rh  0.000  0.500  0.500 (multiplicity 1)
Rh  0.500  0.500  0.000 (multiplicity 1)
Se  0.500  0.000  0.500 (multiplicity 1)


What did the fourth record say?
Below is a relaxed structure of SbRh2Se, with properties calculated at the PBE level.

Mass density, g cm⁻³: 9.47
D(E_F), states/eV per cell: 4.7
V, A^3/atom: 17.8
ΔE_f (raw), eV per atom: 0.145
Uncorrected energy, eV per cell: -21.73

a = 3.186 Å, b = 4.239 Å, c = 5.280 Å
α = 90.00°, β = 90.00°, γ = 90.00°
Space group Pmmm (No. 47)
One atom of each set of equivalent atoms:
Sb  0.000  0.000  0.000 (multiplicity 1)
Rh  0.000  0.500  0.500 (multiplicity 1)
Rh  0.500  0.500  0.000 (multiplicity 1)
Se  0.500  0.000  0.500 (multiplicity 1)